Entry 1:
DFT (PBE) results for crystalline ZrTiAu at its relaxed geometry.

Total DFT energy (no corrections), eV per atom: -6.86
Distance to the lowest polymorph of the same formula, meV per atom: 34.0
Space-group type: P4/nmm (129)
Total magnetization, μB per cell: 0.51

POSCAR file:
```
ZrTiAu
1.0
4.039 0.000 0.000
0.000 4.039 0.000
0.000 0.000 7.286
Zr Ti Au
2 2 2
direct
0.250 0.250 0.148 Zr
0.750 0.750 0.852 Zr
0.250 0.750 0.500 Ti
0.750 0.250 0.500 Ti
0.250 0.250 0.767 Au
0.750 0.750 0.233 Au
```

Entry 2:
DFT (PBE) results for crystalline Ta2TiRhSe at its relaxed geometry.

Total DFT energy (no corrections), eV per atom: -7.87
Space-group type: P4/mmm (123)
Total magnetization, μB per cell: 0.00
Formation energy from raw total energies, eV per formula unit: 3.1

POSCAR file:
```
Ta2TiRhSe
1.0
4.717 0.000 0.000
0.000 4.717 0.000
0.000 0.000 4.505
Ta Ti Rh Se
2 1 1 1
direct
0.000 0.500 0.000 Ta
0.500 0.000 0.000 Ta
0.000 0.000 0.500 Ti
0.500 0.500 0.500 Rh
0.500 0.500 0.000 Se
```

Entry 3:
DFT (PBE) results for crystalline HfThZnGa at its relaxed geometry.

Total DFT energy (no corrections), eV per atom: -5.62
Space-group type: F-43m (216)
Total magnetization, μB per cell: 0.00

POSCAR file:
```
HfThZnGa
1.0
0.000 3.522 3.522
3.522 0.000 3.522
3.522 3.522 0.000
Hf Th Zn Ga
1 1 1 1
direct
0.000 0.000 0.000 Hf
0.500 0.500 0.500 Th
0.750 0.750 0.750 Zn
0.250 0.250 0.250 Ga
```

Entry 4:
DFT (PBE) results for crystalline Pm4PrIr4 at its relaxed geometry.

Total DFT energy (no corrections), eV per atom: -7.12
Space-group type: P4_2/n (86)
Total magnetization, μB per cell: 0.00

POSCAR file:
```
Pm4PrIr4
1.0
9.103 0.000 0.000
0.000 9.103 0.000
0.000 0.000 5.794
Pm Pr Ir
8 2 8
direct
0.076 0.660 0.139 Pm
0.160 0.924 0.639 Pm
0.340 0.576 0.639 Pm
0.424 0.840 0.139 Pm
0.576 0.160 0.861 Pm
0.660 0.424 0.361 Pm
0.840 0.076 0.361 Pm
0.924 0.340 0.861 Pm
0.250 0.250 0.250 Pr
0.750 0.750 0.750 Pr
0.031 0.617 0.637 Ir
0.117 0.969 0.137 Ir
0.383 0.531 0.137 Ir
0.469 0.883 0.637 Ir
0.531 0.117 0.363 Ir
0.617 0.469 0.863 Ir
0.883 0.031 0.863 Ir
0.969 0.383 0.363 Ir
```

Entry 5:
DFT (PBE) results for crystalline Sb2AsS at its relaxed geometry.

Total DFT energy (no corrections), eV per atom: -4.21
Distance to the lowest polymorph of the same formula, meV per atom: 8.6
Space-group type: Pnma (62)
Total magnetization, μB per cell: 0.00
Formation energy from raw total energies, eV per formula unit: 0.2

POSCAR file:
```
Sb2AsS
1.0
6.355 0.000 0.000
0.000 4.006 0.000
0.000 0.000 17.705
Sb As S
8 4 4
direct
0.134 0.250 0.221 Sb
0.226 0.750 0.021 Sb
0.274 0.250 0.521 Sb
0.366 0.750 0.721 Sb
0.634 0.250 0.279 Sb
0.726 0.750 0.479 Sb
0.774 0.250 0.979 Sb
0.866 0.750 0.779 Sb
0.069 0.750 0.594 As
0.431 0.250 0.094 As
0.569 0.750 0.906 As
0.931 0.250 0.406 As
0.042 0.250 0.847 S
0.458 0.750 0.347 S
0.542 0.250 0.653 S
0.958 0.750 0.153 S
```

Entry 6:
DFT (PBE) results for crystalline Ti3VTe at its relaxed geometry.

Total DFT energy (no corrections), eV per atom: -6.19
Distance to the lowest polymorph of the same formula, meV per atom: 1018.0
Space-group type: Pm-3m (221)
Total magnetization, μB per cell: 2.52
Formation energy from raw total energies, eV per formula unit: 5.0

POSCAR file:
```
Ti3VTe
1.0
4.947 0.000 0.000
0.000 4.947 0.000
0.000 0.000 4.947
Ti V Te
3 1 1
direct
0.000 0.000 0.500 Ti
0.000 0.500 0.000 Ti
0.500 0.000 0.000 Ti
0.500 0.500 0.500 V
0.000 0.000 0.000 Te
```

Entry 7:
DFT (PBE) results for crystalline Tb3YTh3 at its relaxed geometry.

Total DFT energy (no corrections), eV per atom: -6.05
Distance to the lowest polymorph of the same formula, meV per atom: 0.0
Space-group type: P6_3/m (176)
Total magnetization, μB per cell: 0.00

POSCAR file:
```
Tb3YTh3
1.0
9.480 0.000 0.000
-4.740 8.210 0.000
0.000 0.000 5.859
Tb Y Th
6 2 6
direct
0.091 0.469 0.250 Tb
0.378 0.909 0.250 Tb
0.469 0.378 0.750 Tb
0.531 0.622 0.250 Tb
0.622 0.091 0.750 Tb
0.909 0.531 0.750 Tb
0.333 0.667 0.750 Y
0.667 0.333 0.250 Y
0.046 0.233 0.750 Th
0.187 0.954 0.750 Th
0.233 0.187 0.250 Th
0.767 0.813 0.750 Th
0.813 0.046 0.250 Th
0.954 0.767 0.250 Th
```

Entry 8:
DFT (PBE) results for crystalline Sr6HgPt3 at its relaxed geometry.

Total DFT energy (no corrections), eV per atom: -3.47
Space-group type: P2_1/m (11)
Total magnetization, μB per cell: 0.00

POSCAR file:
```
Sr6HgPt3
1.0
11.360 0.000 0.000
0.000 4.552 0.000
-4.789 0.000 12.977
Sr Hg Pt
12 2 6
direct
0.015 0.250 0.389 Sr
0.074 0.250 0.915 Sr
0.233 0.750 0.316 Sr
0.340 0.750 0.092 Sr
0.345 0.750 0.814 Sr
0.375 0.250 0.569 Sr
0.625 0.750 0.431 Sr
0.655 0.250 0.186 Sr
0.660 0.250 0.908 Sr
0.767 0.250 0.684 Sr
0.926 0.750 0.085 Sr
0.985 0.750 0.611 Sr
0.419 0.250 0.287 Hg
0.581 0.750 0.713 Hg
0.130 0.250 0.160 Pt
0.187 0.750 0.518 Pt
0.411 0.250 0.971 Pt
0.589 0.750 0.029 Pt
0.813 0.250 0.482 Pt
0.870 0.750 0.840 Pt
```

Entry 9:
DFT (PBE) results for crystalline HoTm2Ru4 at its relaxed geometry.

Total DFT energy (no corrections), eV per atom: -6.99
Space-group type: I4/mmm (139)
Total magnetization, μB per cell: 1.32

POSCAR file:
```
HoTm2Ru4
1.0
-3.278 3.278 3.258
3.278 -3.278 3.258
3.278 3.278 -3.258
Ho Tm Ru
1 2 4
direct
0.000 0.000 0.000 Ho
0.000 0.500 0.500 Tm
0.500 0.000 0.500 Tm
0.000 0.000 0.500 Ru
0.000 0.500 0.000 Ru
0.500 0.000 0.000 Ru
0.500 0.500 0.500 Ru
```

Entry 10:
DFT (PBE) results for crystalline ThMgScSn at its relaxed geometry.

Total DFT energy (no corrections), eV per atom: -5.05
Space-group type: F-43m (216)
Total magnetization, μB per cell: 0.00

POSCAR file:
```
ThMgScSn
1.0
0.000 3.727 3.727
3.727 0.000 3.727
3.727 3.727 0.000
Th Mg Sc Sn
1 1 1 1
direct
0.000 0.000 0.000 Th
0.250 0.250 0.250 Mg
0.500 0.500 0.500 Sc
0.750 0.750 0.750 Sn
```

Entry 11:
DFT (PBE) results for crystalline SmHo3Cd2 at its relaxed geometry.

Total DFT energy (no corrections), eV per atom: -3.58
Space-group type: P4/mmm (123)
Total magnetization, μB per cell: 0.00

POSCAR file:
```
SmHo3Cd2
1.0
3.654 0.000 0.000
0.000 3.654 0.000
0.000 0.000 12.663
Sm Ho Cd
1 3 2
direct
0.000 0.000 0.000 Sm
0.500 0.500 0.196 Ho
0.500 0.500 0.500 Ho
0.500 0.500 0.804 Ho
0.000 0.000 0.349 Cd
0.000 0.000 0.651 Cd
```

Entry 12:
DFT (PBE) results for crystalline HgIrRu2 at its relaxed geometry.

Total DFT energy (no corrections), eV per atom: -6.27
Space-group type: P4/mmm (123)
Total magnetization, μB per cell: 1.29

POSCAR file:
```
HgIrRu2
1.0
4.734 0.000 0.000
0.000 4.734 0.000
0.000 0.000 2.831
Hg Ir Ru
1 1 2
direct
0.000 0.000 0.000 Hg
0.500 0.500 0.000 Ir
0.000 0.500 0.500 Ru
0.500 0.000 0.500 Ru
```